#A
First-principles (PBE) data for a relaxed structure of LaDy2Al, as listed in the Alexandria database.

a b c (Å): 3.5511 3.5511 9.1842
angles (deg): 90.00 90.00 90.00
Sites, in units of the cell vectors:
La  0.5000  0.5000  0.5000
Al  0.5000  0.5000  0.0000
Dy  0.0000  0.0000  0.7944
Dy  0.0000  0.0000  0.2056

ρ: 7.04 Mg/m³
Space group: P4/mmm
Total magnetization: 0.0 μB per cell

#B
First-principles (PBE) data for a relaxed structure of LaDy2Al, as listed in the Alexandria database.

a b c (Å): 5.3530 6.9833 6.9833
angles (deg): 120.26 90.00 90.00
Sites, in units of the cell vectors:
La  0.5000  0.6413  0.8142
La  0.5000  0.1858  0.3587
Dy  0.5000  0.1760  0.8240
Dy  0.0000  0.3520  0.1739
Dy  0.0000  0.8261  0.6480
Dy  0.0000  0.8252  0.1748
Al  0.5000  0.6691  0.3309
Al  0.0000  0.3247  0.6753

ρ: 7.23 Mg/m³
Space group: Amm2
Total magnetization: 0.0 μB per cell

Which structure loses on stability? #B does.

#A
First-principles (PBE) data for a relaxed structure of LaDyAl2, as listed in the Alexandria database.

a b c (Å): 4.7498 6.8207 7.0626
angles (deg): 90.00 90.00 110.38
Sites, in units of the cell vectors:
La  0.9363  0.8727  0.2500
La  0.0637  0.1273  0.7500
Dy  0.2195  0.4391  0.2500
Dy  0.7805  0.5609  0.7500
Al  0.3993  0.7986  0.9353
Al  0.6007  0.2014  0.0647
Al  0.6007  0.2014  0.4353
Al  0.3993  0.7986  0.5647

ρ: 5.50 Mg/m³
Space group: Cmcm
Total magnetization: 0.0 μB per cell

#B
First-principles (PBE) data for a relaxed structure of LaDyAl2, as listed in the Alexandria database.

a b c (Å): 3.7015 3.7015 7.3926
angles (deg): 90.00 90.00 90.00
Sites, in units of the cell vectors:
La  0.5000  0.5000  0.5000
Al  0.0000  0.0000  0.7731
Al  0.0000  0.0000  0.2269
Dy  0.5000  0.5000  0.0000

ρ: 5.83 Mg/m³
Space group: P4/mmm
Total magnetization: 0.0 μB per cell

Which structure loses on stability? #A does.

#A
First-principles (PBE) data for a relaxed structure of LaSmDyAl, as listed in the Alexandria database.

a b c (Å): 5.4755 5.4755 5.4755
angles (deg): 60.00 60.00 60.00
Sites, in units of the cell vectors:
La  0.5000  0.5000  0.5000
Al  0.2500  0.2500  0.2500
Sm  0.0000  0.0000  0.0000
Dy  0.7500  0.7500  0.7500

ρ: 6.85 Mg/m³
Space group: F-43m
Total magnetization: 0.0 μB per cell

#B
First-principles (PBE) data for a relaxed structure of LaSmDyAl, as listed in the Alexandria database.

a b c (Å): 3.5678 3.5678 9.2882
angles (deg): 90.00 90.00 90.00
Sites, in units of the cell vectors:
La  0.0000  0.0000  0.0767
Sm  0.5000  0.5000  0.7780
Dy  0.5000  0.5000  0.3641
Al  0.0000  0.0000  0.5659

ρ: 6.72 Mg/m³
Space group: P4mm
Total magnetization: 0.0 μB per cell

Which structure loses on stability? #A does.

#A
First-principles (PBE) data for a relaxed structure of LiDyAl, as listed in the Alexandria database.

a b c (Å): 6.9102 5.2643 3.1753
angles (deg): 90.00 90.00 40.54
Sites, in units of the cell vectors:
Li  0.5000  0.5000  0.0000
Dy  0.0000  0.5000  0.0000
Al  0.0000  0.0000  0.5000

ρ: 4.34 Mg/m³
Space group: P2/m
Total magnetization: 0.0 μB per cell

#B
First-principles (PBE) data for a relaxed structure of LiDyAl, as listed in the Alexandria database.

a b c (Å): 3.8881 3.8881 5.2676
angles (deg): 119.48 99.15 96.77
Sites, in units of the cell vectors:
Li  0.0813  0.9302  0.0115
Dy  0.4460  0.2175  0.6635
Al  0.8060  0.5190  0.3250

ρ: 4.89 Mg/m³
Space group: Cm
Total magnetization: 0.0 μB per cell

#C
First-principles (PBE) data for a relaxed structure of LiDyAl, as listed in the Alexandria database.

a b c (Å): 4.2274 4.2274 9.2637
angles (deg): 76.81 76.81 60.00
Sites, in units of the cell vectors:
Dy  0.2837  0.2837  0.1489
Dy  0.7163  0.7163  0.8511
Li  0.1554  0.1554  0.5337
Li  0.8446  0.8446  0.4663
Al  0.4506  0.4506  0.6482
Al  0.5494  0.5494  0.3518

ρ: 4.72 Mg/m³
Space group: R-3m
Total magnetization: 0.0 μB per cell

Which structure loses on stability? #A does.

#A
First-principles (PBE) data for a relaxed structure of LiDyAl, as listed in the Alexandria database.

a b c (Å): 3.4160 3.4160 6.0643
angles (deg): 106.36 106.36 90.00
Site moments in Bohr magnetons follow the coordinates.
Sites, in units of the cell vectors:
Li  0.6440  0.6440  0.2880  0.00
Al  0.2637  0.2637  0.5274  0.00
Dy  0.9423  0.9423  0.8846  0.12

ρ: 5.02 Mg/m³
Space group: I4mm
Total magnetization: 0.2 μB per cell

#B
First-principles (PBE) data for a relaxed structure of LiDyAl, as listed in the Alexandria database.

a b c (Å): 3.2238 4.8380 4.8380
angles (deg): 120.00 90.00 90.00
Sites, in units of the cell vectors:
Li  0.1673  0.6667  0.3333
Al  0.1662  0.0000  0.0000
Dy  0.6665  0.3333  0.6667

ρ: 4.99 Mg/m³
Space group: P-6m2
Total magnetization: 0.0 μB per cell

Which structure loses on stability? #A does.

#A
First-principles (PBE) data for a relaxed structure of LiDy2Al, as listed in the Alexandria database.

a b c (Å): 3.7127 5.1016 5.1016
angles (deg): 90.00 90.00 90.00
Sites, in units of the cell vectors:
Li  0.5000  0.0000  0.0000
Al  0.5000  0.5000  0.5000
Dy  0.0000  0.0000  0.5000
Dy  0.0000  0.5000  0.0000

ρ: 6.17 Mg/m³
Space group: P4/mmm
Total magnetization: 0.0 μB per cell

#B
First-principles (PBE) data for a relaxed structure of LiDy2Al, as listed in the Alexandria database.

a b c (Å): 5.1504 5.1504 5.1504
angles (deg): 60.00 60.00 60.00
Sites, in units of the cell vectors:
Li  0.0000  0.0000  0.0000
Al  0.5000  0.5000  0.5000
Dy  0.7500  0.7500  0.7500
Dy  0.2500  0.2500  0.2500

ρ: 6.17 Mg/m³
Space group: Fm-3m
Total magnetization: 0.0 μB per cell

Which structure loses on stability? #A does.